No. 1
Entry from the Alexandria database: crystalline KMgBeSe at its relaxed geometry (GGA-PBE).

```
KMgBeSe
1.0
3.1364 -1.8482 0.0000
3.1364 1.8482 0.0000
-1.6194 0.0000 8.6784
K Mg Be Se
1 1 1 1
Cartesian
0.0000 0.0000 0.0000
2.2217 0.0000 5.4832
0.0209 0.0000 3.4716
4.1856 0.0000 2.6589
```

Values from the calculation:
Magnetization   0.00 μB per formula unit
Raw formation energy   -0.19 eV per atom

***

No. 2
Entry from the Alexandria database: crystalline Ho2MgZnHg4 at its relaxed geometry (GGA-PBE).

```
Ho2MgZnHg4
1.0
2.5110 1.4497 8.1994
-2.5110 1.4497 8.1994
0.0000 -2.8994 8.1994
Ho Mg Zn Hg
2 1 1 4
Cartesian
0.0000 0.0000 6.0817
0.0000 0.0000 18.5164
0.0000 0.0000 0.0000
0.0000 0.0000 12.2991
0.0000 0.0000 3.0403
0.0000 0.0000 9.1845
0.0000 0.0000 15.4136
0.0000 0.0000 21.5578
```

Values from the calculation:
Magnetization   0.00 μB per formula unit
ΔE_f   -0.37 eV per atom

***

No. 3
Entry from the Alexandria database: crystalline CeNdMn4 at its relaxed geometry (GGA-PBE).

```
CeNdMn4
1.0
0.0000 3.6888 3.6888
3.6888 0.0000 3.6888
3.6888 3.6888 0.0000
Ce Nd Mn
1 1 4
Cartesian
0.0000 0.0000 0.0000
1.8444 1.8444 1.8444
4.6182 2.7593 2.7593
2.7593 4.6182 2.7593
2.7593 2.7593 4.6182
4.6182 4.6182 4.6182
```

Values from the calculation:
Magnetization   7.28 μB per formula unit
ΔE_f   0.19 eV per atom

***

No. 4
Entry from the Alexandria database: crystalline Zr3SiH at its relaxed geometry (GGA-PBE).

```
Zr3SiH
1.0
3.6143 0.0000 0.0000
0.0066 6.6136 0.0000
0.0010 0.9740 7.3063
Zr Si H
6 2 2
Cartesian
0.9026 3.0599 2.4886
0.9051 2.3778 6.9064
0.9104 6.1739 2.7858
2.7115 1.4137 4.5205
2.7167 5.2099 0.3999
2.7192 4.5277 4.8177
0.9110 6.4146 5.6896
2.7109 1.1731 1.6167
0.8986 2.9415 4.6887
2.7233 4.6461 2.6176
```

Values from the calculation:
Magnetization   0.00 μB per formula unit
DFT total energy   -0.53959 Ry per atom

***

No. 5
Entry from the Alexandria database: crystalline BaReSb at its relaxed geometry (GGA-PBE).

```
BaReSb
1.0
0.0000 3.8431 3.8431
3.8431 0.0000 3.8431
3.8431 3.8431 0.0000
Ba Re Sb
1 1 1
Cartesian
0.0000 0.0000 0.0000
5.7646 5.7646 5.7646
1.9215 1.9215 1.9215
```

Values from the calculation:
Magnetization   4.19 μB per formula unit
Raw formation energy   1.70 eV per atom

***

No. 6
Entry from the Alexandria database: crystalline CaDy2NpO6 at its relaxed geometry (GGA-PBE).

```
CaDy2NpO6
1.0
2.9325 1.6931 5.0864
-2.9325 1.6931 5.0864
0.0000 -3.3862 5.0864
Ca Dy Np O
1 2 1 6
Cartesian
0.0000 0.0000 0.0000
0.0000 0.0000 4.2494
0.0000 0.0000 11.9491
0.0000 0.0000 7.5110
-1.6518 -0.0755 5.9734
-1.1693 -1.6885 8.4404
0.8913 -1.3928 5.9734
-0.8777 1.8569 8.4403
0.7606 1.4683 5.9734
2.0470 -0.1684 8.4403
```

Values from the calculation:
Magnetization   3.00 μB per formula unit
Raw formation energy   -3.24 eV per atom

***

No. 7
Entry from the Alexandria database: crystalline CsSr2H at its relaxed geometry (GGA-PBE).

```
CsSr2H
1.0
-4.1739 4.1739 5.9030
4.1739 -4.1739 5.9030
4.1739 4.1739 -5.9030
Cs Sr H
2 4 2
Cartesian
0.0000 0.0000 0.0000
0.0000 4.1739 2.9515
2.0870 -0.0170 4.4272
4.1570 2.0870 1.4757
2.0870 4.1909 -1.4757
0.0170 2.0870 7.3787
4.1739 0.0000 2.9515
0.0000 0.0000 5.9030
```

Values from the calculation:
Magnetization   0.00 μB per formula unit
DFT total energy   -0.14368 Ry per atom

***

No. 8
Entry from the Alexandria database: crystalline TlAgHgS2 at its relaxed geometry (GGA-PBE).

```
TlAgHgS2
1.0
8.0595 -2.0930 0.0000
8.0595 2.0930 0.0000
-1.7449 0.0000 8.0424
Tl Ag Hg S
2 2 2 4
Cartesian
3.3152 0.0000 1.6700
11.0590 0.0000 6.3724
1.0345 0.0000 4.4619
13.3397 0.0000 3.5805
7.4489 0.0000 1.8327
6.9252 0.0000 6.2097
0.1845 0.0000 6.8247
4.7887 0.0000 4.9517
9.5855 0.0000 3.0907
14.1896 0.0000 1.2177
```

Values from the calculation:
Magnetization   0.00 μB per formula unit
Raw formation energy   -0.16 eV per atom

***

No. 9
Entry from the Alexandria database: crystalline Y3Mn at its relaxed geometry (GGA-PBE).

```
Y3Mn
1.0
1.7520 1.0115 10.5615
-1.7520 1.0115 10.5615
0.0000 -2.0230 10.5615
Y Mn
3 1
Cartesian
0.0000 0.0000 0.0000
0.0000 0.0000 7.5612
0.0000 0.0000 24.1234
0.0000 0.0000 15.8423
```

Values from the calculation:
Magnetization   3.55 μB per formula unit
ΔE_f   0.26 eV per atom

***

No. 10
Entry from the Alexandria database: crystalline NpNiPtAu at its relaxed geometry (GGA-PBE).

```
NpNiPtAu
1.0
0.0000 3.2982 3.2982
3.2982 0.0000 3.2982
3.2982 3.2982 0.0000
Np Ni Pt Au
1 1 1 1
Cartesian
0.0000 0.0000 0.0000
1.6491 1.6491 1.6491
4.9474 4.9474 4.9474
3.2982 3.2982 3.2982
```

Values from the calculation:
Magnetization   3.03 μB per formula unit
ΔE_f   -0.19 eV per atom

***

No. 11
Entry from the Alexandria database: crystalline Al2CuPt at its relaxed geometry (GGA-PBE).

```
Al2CuPt
1.0
4.1521 0.0000 0.0000
0.0000 4.1521 0.0000
0.0000 0.0000 3.2701
Al Cu Pt
2 1 1
Cartesian
0.0000 2.0761 0.0000
2.0761 0.0000 0.0000
0.0000 0.0000 1.6351
2.0761 2.0761 1.6351
```

Values from the calculation:
Magnetization   0.00 μB per formula unit
ΔE_f   -0.61 eV per atom

***

No. 12
Entry from the Alexandria database: crystalline SrAc2RuO8 at its relaxed geometry (GGA-PBE).

```
SrAc2RuO8
1.0
4.5380 0.0000 0.0000
0.0000 7.4662 0.0000
-0.3067 0.0000 5.6319
Sr Ac Ru O
1 2 1 8
Cartesian
0.0000 0.0000 0.0000
2.1156 1.8616 2.8159
2.1156 5.6047 2.8159
0.0000 3.7331 0.0000
-0.0404 2.3473 4.2994
-0.0404 5.1190 4.2994
1.8653 3.7331 0.5811
2.0384 0.0000 1.4481
2.1929 0.0000 4.1838
2.3660 3.7331 5.0507
4.2717 2.3473 1.3325
4.2717 5.1190 1.3325
```

Values from the calculation:
Magnetization   1.98 μB per formula unit
Raw formation energy   -2.08 eV per atom

***

No. 13
Entry from the Alexandria database: crystalline Cd4Hg2Au at its relaxed geometry (GGA-PBE).

```
Cd4Hg2Au
1.0
-2.7319 2.7319 7.0053
2.7319 -2.7319 7.0053
2.7319 2.7319 -7.0053
Cd Hg Au
4 2 1
Cartesian
2.7319 0.0000 0.0000
0.0000 0.0000 2.6873
0.0000 2.7319 0.0000
0.0000 0.0000 11.3233
0.0000 0.0000 5.4623
0.0000 0.0000 8.5483
0.0000 0.0000 0.0000
```

Values from the calculation:
Magnetization   0.00 μB per formula unit
ΔE_f   0.08 eV per atom

***

No. 14
Entry from the Alexandria database: crystalline PrYP2 at its relaxed geometry (GGA-PBE).

```
PrYP2
1.0
2.0569 1.1875 6.7031
-2.0569 1.1875 6.7031
0.0000 -2.3751 6.7031
Pr Y P
1 1 2
Cartesian
0.0000 0.0000 0.0000
0.0000 0.0000 10.0547
0.0000 0.0000 4.9531
0.0000 0.0000 15.1564
```

Values from the calculation:
Magnetization   0.00 μB per formula unit
ΔE_f   -1.56 eV per atom

***

No. 15
Entry from the Alexandria database: crystalline NaCu2Os at its relaxed geometry (GGA-PBE).

```
NaCu2Os
1.0
-2.1137 2.1137 8.4180
2.1137 -2.1137 8.4180
2.1137 2.1137 -8.4180
Na Cu Os
2 4 2
Cartesian
0.0000 0.0000 0.0000
0.0000 2.1137 4.2090
1.0569 -0.6602 6.3135
1.4535 1.0569 2.1045
1.0569 2.7739 -2.1045
0.6602 1.0569 10.5225
2.1137 0.0000 4.2090
0.0000 0.0000 8.4180
```

Values from the calculation:
Magnetization   1.68 μB per formula unit
ΔE_f   1.21 eV per atom

***

No. 16
Entry from the Alexandria database: crystalline LaHo3Sc6 at its relaxed geometry (GGA-PBE).

```
LaHo3Sc6
1.0
4.6442 2.6813 3.7562
-4.6442 2.6813 3.7562
0.0000 -5.3626 3.7562
La Ho Sc
1 3 6
Cartesian
0.0000 0.0000 0.0000
0.0000 0.0000 2.8229
0.0000 0.0000 5.6353
0.0000 0.0000 8.4495
-3.0352 0.0002 5.6278
-1.5273 -2.6802 7.5048
1.5174 -2.6287 5.6277
-1.5575 2.6627 7.5048
1.5178 2.6285 5.6277
3.0847 0.0174 7.5048
```

Values from the calculation:
Magnetization   0.00 μB per formula unit
ΔE_f   0.41 eV per atom

***

No. 17
Entry from the Alexandria database: crystalline HfPb2AuSe at its relaxed geometry (GGA-PBE).

```
HfPb2AuSe
1.0
5.4818 0.0000 0.0000
0.0000 5.4818 0.0000
0.0000 0.0000 5.0213
Hf Pb Au Se
1 2 1 1
Cartesian
0.0000 0.0000 0.0000
0.0000 2.7409 2.5107
2.7409 0.0000 2.5107
2.7409 2.7409 2.5107
2.7409 2.7409 0.0000
```

Values from the calculation:
Magnetization   0.00 μB per formula unit
Raw formation energy   0.75 eV per atom

***

No. 18
Entry from the Alexandria database: crystalline UPa2FeN4 at its relaxed geometry (GGA-PBE).

```
UPa2FeN4
1.0
1.6820 -5.6868 0.0000
1.6820 5.6868 0.0000
0.0000 0.0000 11.4034
U Pa Fe N
2 4 2 8
Cartesian
1.6820 4.4471 8.5525
1.6820 -4.4471 2.8508
1.6820 1.5188 6.3993
1.6820 1.5188 10.7058
1.6820 -1.5188 0.6976
1.6820 -1.5188 5.0041
1.6820 3.9122 2.8508
1.6820 -3.9122 8.5525
0.0000 0.0000 0.0000
0.0000 0.0000 5.7017
1.6820 2.5056 1.4504
1.6820 2.5056 4.2513
1.6820 0.4822 8.5525
1.6820 -0.4822 2.8508
1.6820 -2.5056 7.1521
1.6820 -2.5056 9.9529
```

Values from the calculation:
Magnetization   1.19 μB per formula unit
Raw formation energy   -1.22 eV per atom

***

No. 19
Entry from the Alexandria database: crystalline SmDyTlPb at its relaxed geometry (GGA-PBE).

```
SmDyTlPb
1.0
0.0000 3.8537 3.8537
3.8537 0.0000 3.8537
3.8537 3.8537 0.0000
Sm Dy Tl Pb
1 1 1 1
Cartesian
0.0000 0.0000 0.0000
3.8537 3.8537 3.8537
5.7806 5.7806 5.7806
1.9269 1.9269 1.9269
```

Values from the calculation:
Magnetization   0.00 μB per formula unit
ΔE_f   -0.38 eV per atom

***

No. 20
Entry from the Alexandria database: crystalline Ac2PrTeN2 at its relaxed geometry (GGA-PBE).

```
Ac2PrTeN2
1.0
6.0264 0.0000 0.0000
0.0000 6.2449 0.0000
-0.0157 0.0000 9.9724
Ac Pr Te N
4 2 2 4
Cartesian
1.2022 1.5612 2.1026
1.2022 1.5612 7.8714
4.8085 4.6837 2.1011
4.8085 4.6837 7.8698
0.9753 4.6837 4.9859
5.0354 1.5612 4.9865
1.5627 4.6837 0.0054
4.4480 1.5612 9.9671
-0.0070 6.2448 6.5733
-0.0070 3.1226 6.5733
6.0177 0.0001 3.3991
6.0177 3.1223 3.3991
```

Values from the calculation:
Magnetization   0.00 μB per formula unit
Raw formation energy   -1.24 eV per atom

***

No. 21
Entry from the Alexandria database: crystalline LaIrNF2 at its relaxed geometry (GGA-PBE).

```
LaIrNF2
1.0
4.4883 0.0000 0.0000
0.0000 4.4883 0.0000
0.0000 0.0000 5.0522
La Ir N F
1 1 1 2
Cartesian
0.0000 0.0000 0.0000
2.2442 2.2442 2.5261
0.0000 0.0000 2.5261
0.0000 2.2442 0.0000
2.2442 0.0000 0.0000
```

Values from the calculation:
Magnetization   3.14 μB per formula unit
Raw formation energy   -0.52 eV per atom

***

No. 22
Entry from the Alexandria database: crystalline Tl2SnAs2 at its relaxed geometry (GGA-PBE).

```
Tl2SnAs2
1.0
-3.6075 6.4135 3.3868
3.6075 -6.4135 3.3868
3.6075 6.4135 -3.3868
Tl Sn As
4 2 4
Cartesian
0.9479 1.8047 0.0000
4.5554 4.6088 0.0000
-0.9479 1.8047 3.3868
2.6596 4.6088 3.3868
3.6075 0.0000 1.6934
0.0000 6.4135 1.6934
5.0582 1.5218 0.0000
1.4507 4.8917 0.0000
2.1568 1.5218 3.3868
-1.4507 4.8917 3.3868
```

Values from the calculation:
Magnetization   0.00 μB per formula unit
ΔE_f   0.03 eV per atom

***

No. 23
Entry from the Alexandria database: crystalline ZrTeS at its relaxed geometry (GGA-PBE).

```
ZrTeS
1.0
4.4509 0.0000 0.0000
-2.2254 3.8546 0.0000
0.0000 0.0000 3.9378
Zr Te S
1 1 1
Cartesian
0.0000 0.0000 0.0000
2.2254 1.2849 1.9689
0.0000 2.5697 0.0000
```

Values from the calculation:
Magnetization   0.00 μB per formula unit
Raw formation energy   -0.92 eV per atom

***

No. 24
Entry from the Alexandria database: crystalline MnRuRh3 at its relaxed geometry (GGA-PBE).

```
MnRuRh3
1.0
4.6545 0.0000 0.0000
0.0000 4.6545 0.0000
0.0000 0.0000 4.6545
Mn Ru Rh
1 1 3
Cartesian
0.0000 0.0000 0.0000
2.3273 2.3273 2.3273
0.0000 2.3273 2.3273
2.3273 0.0000 2.3273
2.3273 2.3273 0.0000
```

Values from the calculation:
Magnetization   4.82 μB per formula unit
ΔE_f   1.31 eV per atom

***

No. 25
Entry from the Alexandria database: crystalline Pr3Ho2Er4 at its relaxed geometry (GGA-PBE).

```
Pr3Ho2Er4
1.0
6.1898 0.0000 0.0000
1.0503 6.1165 0.0000
1.0080 1.8992 7.6910
Pr Ho Er
3 2 4
Cartesian
0.0000 0.0000 0.0000
2.0574 4.8794 5.9600
6.1907 3.1362 1.7310
3.1124 4.7196 2.5680
5.1357 3.2961 5.1230
2.0710 1.7319 4.2531
3.1069 1.5705 0.8624
5.1413 6.4451 6.8286
6.1772 6.2838 3.4379
```

Values from the calculation:
Magnetization   0.00 μB per formula unit
ΔE_f   0.02 eV per atom